{
  "formula": "KCdMo2",
  "functional": "PBE",
  "state": "relaxed",
  "crystal_system": "tetragonal",
  "formation_enthalpy_0k_ev_per_atom": 1.0408,
  "lattice": [[3.7505, 0.0000, 0.0000], [0.0000, 3.7505, 0.0000], [0.0000, 0.0000, 7.6276]],
  "species": ["K", "Cd", "Mo", "Mo"],
  "fractional_positions": [[0.0000, 0.0000, 0.0000], [0.0000, 0.0000, 0.5000], [0.5000, 0.5000, 0.3593], [0.5000, 0.5000, 0.6407]]
}


{
  "formula": "NiIBr2",
  "functional": "PBE",
  "state": "relaxed",
  "raw_formation_energy_ev_per_atom": -0.1353,
  "crystal_system": "triclinic",
  "de_polymorph_mev_per_atom": 53,
  "lattice": [[3.6535, 0.0000, 0.0000], [0.0044, 5.7269, 0.0000], [1.8196, 1.5880, 6.3521]],
  "species": ["Ni", "I", "Br", "Br"],
  "fractional_positions": [[0.0000, 0.0000, 0.0000], [0.5736, 0.7781, 0.8529], [0.1389, 0.3630, 0.7213], [0.3907, 0.0807, 0.2191]]
}